Record 1
## Ta2AlCu (meta-GGA SCAN)

Data for Ta2AlCu at its PBEsol-relaxed geometry.

## Properties
- space group = Amm2 (38)
- magnetic moment (μB per atom) = 0.000
- final energy (eV per atom) = -39.131
- E_form (kJ/mol of formula units) = -39
- crystal system = orthorhombic
- D(E_F) (states/eV/f.u.) = 2.378

abc: 2.996 3.940 5.508
angles: 90.00 105.78 90.00
Fractional positions:
Al: 0.684 0.000 0.368
Ta: 0.950 0.000 0.899
Cu: 0.557 0.500 0.114
Ta: 0.300 0.500 0.600

---

Record 2
## SbSeS2N (meta-GGA SCAN)

Data for SbSeS2N at its PBEsol-relaxed geometry.

## Properties
- space group = P4/mmm (123)
- magnetic moment (μB per atom) = 0.000
- final energy (eV per atom) = -16.055
- energy above the most stable polymorph in this dataset (eV/atom) = 0.217
- crystal system = tetragonal
- D(E_F) (states/eV/f.u.) = 2.875
- energy relative to the elements, uncorrected (eV/atom) = 1.1218

abc: 3.830 5.026 5.026
angles: 90.00 90.00 90.00
Fractional positions:
Se: 0.500 0.500 0.500
Sb: 0.000 0.000 0.000
S: 0.000 0.500 0.000
N: 0.500 0.000 0.000
S: 0.000 0.000 0.500

---

Record 3
## Zn2TeAs (meta-GGA SCAN)

Data for Zn2TeAs at its PBEsol-relaxed geometry.

## Properties
- space group = R3m (160)
- magnetic moment (μB per atom) = 0.000
- final energy (eV per atom) = -20.909
- energy above the most stable polymorph in this dataset (eV/atom) = 0.000
- crystal system = trigonal
- D(E_F) (states/eV/f.u.) = 0.912
- energy relative to the elements, uncorrected (eV/atom) = 0.2090

abc: 3.153 3.153 9.679
angles: 80.63 80.63 60.00
Fractional positions:
As: 0.478 0.478 0.567
Zn: 0.745 0.745 0.766
Te: 0.265 0.265 0.204
Zn: 0.012 0.012 0.963